1.
A plane-wave DFT calculation with PBE was carried out for a relaxed Co7C5 crystal.

Space-group type: No. 107
E: -6.840 eV per atom

abc: 5.499 5.499 5.499
angles: 101.70 101.70 126.47
Fractional coordinates of all 12 atoms:
Co (0.000, 0.000, 0.000)
Co (0.373, 0.605, 0.768)
Co (0.374, 0.874, 0.500)
Co (0.605, 0.373, 0.768)
Co (0.605, 0.837, 0.232)
Co (0.837, 0.605, 0.232)
Co (0.874, 0.374, 0.500)
C (0.072, 0.072, 0.389)
C (0.072, 0.683, 0.000)
C (0.369, 0.369, 0.000)
C (0.683, 0.072, 0.000)
C (0.683, 0.683, 0.611)

=====

2.
A plane-wave DFT calculation with PBE was carried out for a relaxed CsPPtCl2 crystal.

E_form (uncorrected): -559 meV/atom
Space-group type: No. 123
Polymorph energy (0 for the lowest one): 51 meV per atom

abc: 5.571 5.571 4.446
angles: 90.00 90.00 90.00
Fractional coordinates of all 5 atoms:
Cs (0.000, 0.000, 0.000)
P (0.500, 0.500, 0.000)
Pt (0.500, 0.500, 0.500)
Cl (0.000, 0.500, 0.500)
Cl (0.500, 0.000, 0.500)

=====

3.
A plane-wave DFT calculation with PBE was carried out for a relaxed KRbCo2S crystal.

E_form (uncorrected): 1431 meV/atom
Space-group type: No. 123

abc: 5.587 5.587 5.818
angles: 90.00 90.00 90.00
Fractional coordinates of all 5 atoms:
K (0.000, 0.000, 0.000)
Rb (0.500, 0.500, 0.500)
Co (0.000, 0.500, 0.000)
Co (0.500, 0.000, 0.000)
S (0.000, 0.000, 0.500)

=====

4.
A plane-wave DFT calculation with PBE was carried out for a relaxed Al5V4 crystal.

Space-group type: No. 12
Polymorph energy (0 for the lowest one): 28 meV per atom

abc: 6.278 6.278 3.602
angles: 106.61 106.61 85.31
Fractional coordinates of all 9 atoms:
Al (0.000, 0.000, 0.000)
Al (0.000, 0.340, 0.670)
Al (0.000, 0.660, 0.330)
Al (0.340, 0.000, 0.670)
Al (0.660, 0.000, 0.330)
V (0.332, 0.332, 0.331)
V (0.332, 0.668, 0.000)
V (0.668, 0.332, 0.000)
V (0.668, 0.668, 0.669)

=====

5.
A plane-wave DFT calculation with PBE was carried out for a relaxed K4Cl5 crystal.

E_form (uncorrected): -1435 meV/atom
Space-group type: No. 139

abc: 8.505 8.505 8.505
angles: 97.33 97.33 138.13
Fractional coordinates of all 9 atoms:
K (0.000, 0.254, 0.254)
K (0.000, 0.746, 0.746)
K (0.254, 0.000, 0.254)
K (0.746, 0.000, 0.746)
Cl (0.000, 0.000, 0.000)
Cl (0.278, 0.278, 0.556)
Cl (0.278, 0.722, 0.000)
Cl (0.722, 0.278, 0.000)
Cl (0.722, 0.722, 0.444)

=====

6.
A plane-wave DFT calculation with PBE was carried out for a relaxed PAu5 crystal.

Space-group type: No. 65
Polymorph energy (0 for the lowest one): 32 meV per atom

abc: 7.637 7.637 3.206
angles: 90.00 90.00 144.95
Fractional coordinates of all 6 atoms:
P (0.000, 0.000, 0.000)
Au (0.143, 0.857, 0.500)
Au (0.312, 0.688, 0.000)
Au (0.500, 0.500, 0.500)
Au (0.688, 0.312, 0.000)
Au (0.857, 0.143, 0.500)

=====

Repeat the fifth record exactly.
A plane-wave DFT calculation with PBE was carried out for a relaxed K4Cl5 crystal.

E_form (uncorrected): -1435 meV/atom
Space-group type: No. 139

abc: 8.505 8.505 8.505
angles: 97.33 97.33 138.13
Fractional coordinates of all 9 atoms:
K (0.000, 0.254, 0.254)
K (0.000, 0.746, 0.746)
K (0.254, 0.000, 0.254)
K (0.746, 0.000, 0.746)
Cl (0.000, 0.000, 0.000)
Cl (0.278, 0.278, 0.556)
Cl (0.278, 0.722, 0.000)
Cl (0.722, 0.278, 0.000)
Cl (0.722, 0.722, 0.444)